No. 1
# BeHgSeN2 (PBEsol, relaxed)
data_BeHgSeN2
_cell_length_a 3.6314
_cell_length_b 3.6314
_cell_length_c 5.4321
_cell_angle_alpha 90.00
_cell_angle_beta 90.00
_cell_angle_gamma 90.00
_symmetry_space_group_name_H-M 'P 4/m m m'
_symmetry_Int_Tables_number 123
_symmetry_space_group_name_Hall '-P 4 2'
loop_
_atom_site_label
_atom_site_fract_x
_atom_site_fract_y
_atom_site_fract_z
Be1 0.0000 0.0000 0.0000
Hg1 0.5000 0.5000 0.5000
Se1 0.0000 0.0000 0.5000
N1 0.0000 0.5000 0.0000
# formation energy (no corrections): 1.1472 eV per atom
# calculated total energy: -3.947 eV per atom
# total magnetic moment: 2.21 μB per cell


No. 2
# CoAg3Cl (PBEsol, relaxed)
data_CoAg3Cl
_cell_length_a 4.7987
_cell_length_b 4.7987
_cell_length_c 4.7987
_cell_angle_alpha 90.00
_cell_angle_beta 90.00
_cell_angle_gamma 90.00
_symmetry_space_group_name_H-M 'P m -3 m'
_symmetry_Int_Tables_number 221
_symmetry_space_group_name_Hall '-P 4 2 3'
loop_
_atom_site_label
_atom_site_fract_x
_atom_site_fract_y
_atom_site_fract_z
Co1 0.0000 0.0000 0.0000
Ag1 0.0000 0.5000 0.5000
Cl1 0.5000 0.5000 0.5000
# formation energy (no corrections): 1.2491 eV per atom
# calculated total energy: -2.687 eV per atom
# total magnetic moment: 1.94 μB per cell


No. 3
# LaAg2Br (PBEsol, relaxed)
data_LaAg2Br
_cell_length_a 3.5938
_cell_length_b 3.5819
_cell_length_c 14.9956
_cell_angle_alpha 90.00
_cell_angle_beta 90.00
_cell_angle_gamma 90.00
_symmetry_space_group_name_H-M 'A m m 2'
_symmetry_Int_Tables_number 38
loop_
_symmetry_equiv_pos_as_xyz
'x,y,z'
'-x,-y,z'
'-x,y,z'
'x,-y,z'
'x,y+1/2,z+1/2'
'-x,-y+1/2,z+1/2'
'-x,y+1/2,z+1/2'
'x,-y+1/2,z+1/2'
loop_
_atom_site_label
_atom_site_fract_x
_atom_site_fract_y
_atom_site_fract_z
La1 0.0000 0.0000 0.0000
Ag1 0.0000 0.0000 0.7909
Ag2 0.5000 0.0000 0.3682
Br1 0.5000 0.0000 0.6239
# E above lowest polymorph: 0 meV/atom
# formation energy (no corrections): -0.5056 eV per atom
# calculated total energy: -3.965 eV per atom
# total magnetic moment: 0.00 μB per cell


No. 4
# TeAs2 (PBEsol, relaxed)
data_TeAs2
_cell_length_a 3.6175
_cell_length_b 3.6175
_cell_length_c 10.4609
_cell_angle_alpha 90.00
_cell_angle_beta 90.00
_cell_angle_gamma 90.00
_symmetry_space_group_name_H-M 'I 4/m m m'
_symmetry_Int_Tables_number 139
_symmetry_space_group_name_Hall '-I 4 2'
loop_
_atom_site_label
_atom_site_fract_x
_atom_site_fract_y
_atom_site_fract_z
Te1 0.0000 0.0000 0.0000
As1 0.0000 0.0000 0.2813
# formation energy (no corrections): 0.2829 eV per atom
# calculated total energy: -4.297 eV per atom
# total magnetic moment: 0.00 μB per cell


No. 5
# CdSnGe3 (PBEsol, relaxed)
data_CdSnGe3
_cell_length_a 5.0608
_cell_length_b 5.0608
_cell_length_c 5.0608
_cell_angle_alpha 90.00
_cell_angle_beta 90.00
_cell_angle_gamma 90.00
_symmetry_space_group_name_H-M 'P m -3 m'
_symmetry_Int_Tables_number 221
_symmetry_space_group_name_Hall '-P 4 2 3'
loop_
_atom_site_label
_atom_site_fract_x
_atom_site_fract_y
_atom_site_fract_z
Cd1 0.0000 0.0000 0.0000
Sn1 0.5000 0.5000 0.5000
Ge1 0.0000 0.0000 0.5000
# calculated total energy: -3.263 eV per atom
# total magnetic moment: 0.00 μB per cell
# DFT formation energy: 0.792 eV/atom


No. 6
# Mn2InTe (PBEsol, relaxed)
data_Mn2InTe
_cell_length_a 6.5130
_cell_length_b 3.7896
_cell_length_c 6.9909
_cell_angle_alpha 90.00
_cell_angle_beta 108.54
_cell_angle_gamma 90.00
_symmetry_space_group_name_H-M 'C 1 2/m 1'
_symmetry_Int_Tables_number 12
loop_
_symmetry_equiv_pos_as_xyz
'x,y,z'
'-x,-y,-z'
'-x,y,-z'
'x,-y,z'
'x+1/2,y+1/2,z'
'-x+1/2,-y+1/2,-z'
'-x+1/2,y+1/2,-z'
'x+1/2,-y+1/2,z'
loop_
_atom_site_label
_atom_site_fract_x
_atom_site_fract_y
_atom_site_fract_z
Mn1 0.2498 0.0000 0.2482
In1 0.0000 0.0000 0.5000
Te1 0.0000 0.5000 0.0000
# E above lowest polymorph: 8 meV/atom
# formation energy (no corrections): 0.3823 eV per atom
# calculated total energy: -6.126 eV per atom
# total magnetic moment: 14.71 μB per cell


No. 7
# YAg2Os2 (PBEsol, relaxed)
data_YAg2Os2
_cell_length_a 4.0376
_cell_length_b 4.0376
_cell_length_c 11.6969
_cell_angle_alpha 90.00
_cell_angle_beta 90.00
_cell_angle_gamma 90.00
_symmetry_space_group_name_H-M 'I 4/m m m'
_symmetry_Int_Tables_number 139
_symmetry_space_group_name_Hall '-I 4 2'
loop_
_atom_site_label
_atom_site_fract_x
_atom_site_fract_y
_atom_site_fract_z
Y1 0.0000 0.0000 0.0000
Ag1 0.0000 0.5000 0.2500
Os1 0.0000 0.0000 0.4041
# calculated total energy: -7.125 eV per atom
# total magnetic moment: 1.34 μB per cell
# DFT formation energy: 0.451 eV/atom


No. 8
# Ba3Hf2O7 (PBEsol, relaxed)
data_Ba3Hf2O7
_cell_length_a 4.1510
_cell_length_b 4.1510
_cell_length_c 21.7205
_cell_angle_alpha 90.00
_cell_angle_beta 90.00
_cell_angle_gamma 90.00
_symmetry_space_group_name_H-M 'I 4/m m m'
_symmetry_Int_Tables_number 139
_symmetry_space_group_name_Hall '-I 4 2'
loop_
_atom_site_label
_atom_site_fract_x
_atom_site_fract_y
_atom_site_fract_z
Ba1 0.0000 0.0000 0.0000
Ba2 0.0000 0.0000 0.1857
Hf1 0.0000 0.0000 0.4033
O1 0.0000 0.0000 0.3081
O2 0.0000 0.0000 0.5000
O3 0.0000 0.5000 0.0956
# formation energy (no corrections): -3.2866 eV per atom
# calculated total energy: -8.636 eV per atom
# total magnetic moment: 0.00 μB per cell


No. 9
# MgSc7 (PBEsol, relaxed)
data_MgSc7
_cell_length_a 9.0957
_cell_length_b 9.0957
_cell_length_c 9.0957
_cell_angle_alpha 90.00
_cell_angle_beta 90.00
_cell_angle_gamma 90.00
_symmetry_space_group_name_H-M 'F m -3 m'
_symmetry_Int_Tables_number 225
_symmetry_space_group_name_Hall '-F 4 2 3'
loop_
_atom_site_label
_atom_site_fract_x
_atom_site_fract_y
_atom_site_fract_z
Mg1 0.0000 0.0000 0.0000
Sc1 0.0000 0.0000 0.5000
Sc2 0.0000 0.2500 0.2500
# calculated total energy: -5.946 eV per atom
# total magnetic moment: 0.01 μB per cell
# DFT formation energy: 0.048 eV/atom


No. 10
# Al3IrO (PBEsol, relaxed)
data_Al3IrO
_cell_length_a 3.9404
_cell_length_b 3.9404
_cell_length_c 3.9404
_cell_angle_alpha 90.00
_cell_angle_beta 90.00
_cell_angle_gamma 90.00
_symmetry_space_group_name_H-M 'P m -3 m'
_symmetry_Int_Tables_number 221
_symmetry_space_group_name_Hall '-P 4 2 3'
loop_
_atom_site_label
_atom_site_fract_x
_atom_site_fract_y
_atom_site_fract_z
Al1 0.0000 0.0000 0.5000
Ir1 0.5000 0.5000 0.5000
O1 0.0000 0.0000 0.0000
# formation energy (no corrections): -0.8765 eV per atom
# calculated total energy: -6.346 eV per atom
# total magnetic moment: 0.00 μB per cell


No. 11
# SrTa2Re (PBEsol, relaxed)
data_SrTa2Re
_cell_length_a 3.2246
_cell_length_b 3.2246
_cell_length_c 8.1256
_cell_angle_alpha 90.00
_cell_angle_beta 90.00
_cell_angle_gamma 90.00
_symmetry_space_group_name_H-M 'P 4 m m'
_symmetry_Int_Tables_number 99
loop_
_symmetry_equiv_pos_as_xyz
'x,y,z'
'-y,x,z'
'-x,-y,z'
'y,-x,z'
'-x,y,z'
'y,x,z'
'x,-y,z'
'-y,-x,z'
loop_
_atom_site_label
_atom_site_fract_x
_atom_site_fract_y
_atom_site_fract_z
Sr1 0.0000 0.0000 0.0000
Ta1 0.0000 0.0000 0.5472
Ta2 0.5000 0.5000 0.3423
Re1 0.5000 0.5000 0.7118
# E above lowest polymorph: 0 meV/atom
# calculated total energy: -9.538 eV per atom
# total magnetic moment: 0.00 μB per cell
# DFT formation energy: 0.530 eV/atom


No. 12
# KMo2As (PBEsol, relaxed)
data_KMo2As
_cell_length_a 3.2148
_cell_length_b 3.2148
_cell_length_c 8.0812
_cell_angle_alpha 90.00
_cell_angle_beta 90.00
_cell_angle_gamma 90.00
_symmetry_space_group_name_H-M 'P 4 m m'
_symmetry_Int_Tables_number 99
loop_
_symmetry_equiv_pos_as_xyz
'x,y,z'
'-y,x,z'
'-x,-y,z'
'y,-x,z'
'-x,y,z'
'y,x,z'
'x,-y,z'
'-y,-x,z'
loop_
_atom_site_label
_atom_site_fract_x
_atom_site_fract_y
_atom_site_fract_z
K1 0.0000 0.0000 0.0000
Mo1 0.0000 0.0000 0.5239
Mo2 0.5000 0.5000 0.3663
As1 0.5000 0.5000 0.7029
# calculated total energy: -7.082 eV per atom
# total magnetic moment: 0.00 μB per cell
# DFT formation energy: 0.362 eV/atom


Please write out number 10 again, unchanged.
# Al3IrO (PBEsol, relaxed)
data_Al3IrO
_cell_length_a 3.9404
_cell_length_b 3.9404
_cell_length_c 3.9404
_cell_angle_alpha 90.00
_cell_angle_beta 90.00
_cell_angle_gamma 90.00
_symmetry_space_group_name_H-M 'P m -3 m'
_symmetry_Int_Tables_number 221
_symmetry_space_group_name_Hall '-P 4 2 3'
loop_
_atom_site_label
_atom_site_fract_x
_atom_site_fract_y
_atom_site_fract_z
Al1 0.0000 0.0000 0.5000
Ir1 0.5000 0.5000 0.5000
O1 0.0000 0.0000 0.0000
# formation energy (no corrections): -0.8765 eV per atom
# calculated total energy: -6.346 eV per atom
# total magnetic moment: 0.00 μB per cell


total magnetic moment of number 1 (BeHgSeN2)?
2.21 μB per cell


Repeat the tenth record exactly.
# Al3IrO (PBEsol, relaxed)
data_Al3IrO
_cell_length_a 3.9404
_cell_length_b 3.9404
_cell_length_c 3.9404
_cell_angle_alpha 90.00
_cell_angle_beta 90.00
_cell_angle_gamma 90.00
_symmetry_space_group_name_H-M 'P m -3 m'
_symmetry_Int_Tables_number 221
_symmetry_space_group_name_Hall '-P 4 2 3'
loop_
_atom_site_label
_atom_site_fract_x
_atom_site_fract_y
_atom_site_fract_z
Al1 0.0000 0.0000 0.5000
Ir1 0.5000 0.5000 0.5000
O1 0.0000 0.0000 0.0000
# formation energy (no corrections): -0.8765 eV per atom
# calculated total energy: -6.346 eV per atom
# total magnetic moment: 0.00 μB per cell